[1]
DFT (PBE-GGA) results for an optimized crystal structure of KCoOs4.

Geometry as POSCAR:
```
KCoOs4
1.0
0.000 3.716 3.716
3.716 0.000 3.716
3.716 3.716 0.000
Os Co K
4 1 1
Direct
0.376 0.376 0.873 Os
0.873 0.376 0.376 Os
0.376 0.873 0.376 Os
0.376 0.376 0.376 Os
0.750 0.750 0.750 Co
0.000 0.000 0.000 K
```

Properties
The energy of formation from the pure elements comes out at 1.245 eV/atom. The density is 13.90 Mg/m³. The total energy comes out at -7.6090 eV/atom.

---

[2]
DFT (PBE-GGA) results for an optimized crystal structure of LuZrOsRu.

Geometry as POSCAR:
```
LuZrOsRu
1.0
-1.757 1.218 4.154
-4.559 0.926 0.428
-2.776 -2.956 2.319
Zr Ru Os Lu
1 1 1 1
Direct
0.500 0.500 0.500 Zr
0.750 0.750 0.750 Ru
0.250 0.250 0.250 Os
0.000 0.000 0.000 Lu
```

Properties
The energy of formation from the pure elements comes out at -0.503 eV/atom. The density is 12.84 Mg/m³. The total energy comes out at -8.8963 eV/atom.

---

[3]
DFT (PBE-GGA) results for an optimized crystal structure of Ba2Pm3S6.

Geometry as POSCAR:
```
Ba2Pm3S6
1.0
6.884 0.000 2.042
3.442 6.211 1.021
0.198 0.000 7.689
Pm S Ba
3 6 2
Direct
0.000 0.000 0.000 Pm
0.336 0.328 0.000 Pm
0.664 0.672 0.000 Pm
0.934 0.662 0.213 S
0.742 0.000 0.784 S
0.596 0.338 0.213 S
0.258 0.000 0.216 S
0.404 0.662 0.787 S
0.066 0.338 0.787 S
0.167 0.665 0.500 Ba
0.833 0.335 0.500 Ba
```

Properties
Its formation energy (no corrections) is -2189 kJ/mol of formula units. The density is 4.59 Mg/m³. The total energy comes out at -5.9594 eV/atom.

---

[4]
DFT (PBE-GGA) results for an optimized crystal structure of Hf2TeI.

Geometry as POSCAR:
```
Hf2TeI
1.0
7.800 0.000 0.000
0.000 7.800 0.000
3.900 3.900 3.525
Te Hf I
2 4 2
Direct
0.500 0.500 0.000 Te
0.250 0.750 0.500 Te
0.875 0.871 0.750 Hf
0.129 0.625 0.250 Hf
0.621 0.125 0.250 Hf
0.375 0.379 0.750 Hf
0.000 0.000 0.000 I
0.750 0.250 0.500 I
```

Properties
Its distance to the lowest polymorph of the same formula is 467 meV/atom. Its formation energy (no corrections) is 121 kJ/mol of formula units. The density is 9.47 Mg/m³. The total energy comes out at -5.8355 eV/atom.

---

[5]
DFT (PBE-GGA) results for an optimized crystal structure of TiTlBr2.

Geometry as POSCAR:
```
TiTlBr2
1.0
4.996 -1.359 1.115
1.220 -1.904 4.789
1.291 -5.105 0.570
Br Tl Ti
2 1 1
Direct
0.250 0.250 0.250 Br
0.750 0.750 0.750 Br
0.500 0.500 0.500 Tl
0.000 0.000 0.000 Ti
```

Properties
Its distance to the lowest polymorph of the same formula is 535 meV/atom. Its formation energy (no corrections) is -58 kJ/mol of formula units. The density is 6.51 Mg/m³. The total energy comes out at -3.5527 eV/atom.

---

[6]
DFT (PBE-GGA) results for an optimized crystal structure of Dy3SnRh2.

Geometry as POSCAR:
```
Dy3SnRh2
1.0
-0.737 -2.544 2.136
-2.084 -1.350 -2.327
8.794 -6.161 -4.300
Rh Dy Sn
2 3 1
Direct
0.500 0.500 0.847 Rh
0.500 0.500 0.153 Rh
0.000 0.000 0.300 Dy
0.000 0.000 0.700 Dy
0.000 0.000 0.000 Dy
0.500 0.500 0.500 Sn
```

Properties
Its distance to the lowest polymorph of the same formula is 0 meV/atom. The energy of formation from the pure elements comes out at -0.801 eV/atom. The density is 10.07 Mg/m³. The total energy comes out at -6.2201 eV/atom.

---

[7]
DFT (PBE-GGA) results for an optimized crystal structure of Tb7Pr2Er.

Geometry as POSCAR:
```
Tb7Pr2Er
1.0
-3.461 4.000 2.062
2.867 -1.186 -8.526
-7.972 -3.478 1.161
Pr Tb Er
2 7 1
Direct
0.358 0.147 0.578 Pr
0.642 0.853 0.422 Pr
0.147 0.356 0.420 Tb
0.500 0.500 0.000 Tb
0.703 0.299 0.193 Tb
0.297 0.701 0.807 Tb
0.199 0.798 0.198 Tb
0.853 0.644 0.580 Tb
0.801 0.202 0.802 Tb
0.000 0.000 0.000 Er
```

Properties
Its distance to the lowest polymorph of the same formula is 0 meV/atom. The energy of formation from the pure elements comes out at 0.054 eV/atom. The density is 7.96 Mg/m³. The total energy comes out at -4.5990 eV/atom.

---

[8]
DFT (PBE-GGA) results for an optimized crystal structure of Ca2ZrPb.

Geometry as POSCAR:
```
Ca2ZrPb
1.0
5.429 0.000 0.000
2.715 4.702 0.000
2.715 1.567 4.433
Ca Zr Pb
2 1 1
Direct
0.250 0.250 0.250 Ca
0.000 0.000 0.000 Ca
0.750 0.750 0.750 Zr
0.500 0.500 0.500 Pb
```

Properties
The energy of formation from the pure elements comes out at 0.106 eV/atom. The density is 5.56 Mg/m³. The total energy comes out at -3.9589 eV/atom.

---

Q: Which formula does entry 7 have?
A: Tb7Pr2Er

---

Repeat the seventh record exactly.
DFT (PBE-GGA) results for an optimized crystal structure of Tb7Pr2Er.

Geometry as POSCAR:
```
Tb7Pr2Er
1.0
-3.461 4.000 2.062
2.867 -1.186 -8.526
-7.972 -3.478 1.161
Pr Tb Er
2 7 1
Direct
0.358 0.147 0.578 Pr
0.642 0.853 0.422 Pr
0.147 0.356 0.420 Tb
0.500 0.500 0.000 Tb
0.703 0.299 0.193 Tb
0.297 0.701 0.807 Tb
0.199 0.798 0.198 Tb
0.853 0.644 0.580 Tb
0.801 0.202 0.802 Tb
0.000 0.000 0.000 Er
```

Properties
Its distance to the lowest polymorph of the same formula is 0 meV/atom. The energy of formation from the pure elements comes out at 0.054 eV/atom. The density is 7.96 Mg/m³. The total energy comes out at -4.5990 eV/atom.

---

Repeat the third record exactly.
DFT (PBE-GGA) results for an optimized crystal structure of Ba2Pm3S6.

Geometry as POSCAR:
```
Ba2Pm3S6
1.0
6.884 0.000 2.042
3.442 6.211 1.021
0.198 0.000 7.689
Pm S Ba
3 6 2
Direct
0.000 0.000 0.000 Pm
0.336 0.328 0.000 Pm
0.664 0.672 0.000 Pm
0.934 0.662 0.213 S
0.742 0.000 0.784 S
0.596 0.338 0.213 S
0.258 0.000 0.216 S
0.404 0.662 0.787 S
0.066 0.338 0.787 S
0.167 0.665 0.500 Ba
0.833 0.335 0.500 Ba
```

Properties
Its formation energy (no corrections) is -2189 kJ/mol of formula units. The density is 4.59 Mg/m³. The total energy comes out at -5.9594 eV/atom.

---

Q: Number 7 is which compound?
A: Tb7Pr2Er